Below is crystalline NdMg2Hg3 at its relaxed geometry, with properties calculated at the PBE level.

Results
* polymorph energy (0 for the lowest one): 0 meV per atom
* E: -1.8175 eV/atom
* DOS(E_F): 8.54 states/eV per cell
* calculated volume: 287.5 Å³/cell

Unit cell a=4.8973 b=4.8973 c=13.8427 alpha=90.00 beta=90.00 gamma=120.00
Element x y z (fractional)
Nd 0.0000 0.0000 0.2500
Nd 0.0000 0.0000 0.7500
Mg 0.3333 0.6667 0.0834
Mg 0.3333 0.6667 0.4166
Mg 0.6667 0.3333 0.5834
Mg 0.6667 0.3333 0.9166
Hg 0.0000 0.0000 0.0000
Hg 0.0000 0.0000 0.5000
Hg 0.3333 0.6667 0.6360
Hg 0.3333 0.6667 0.8640
Hg 0.6667 0.3333 0.1360
Hg 0.6667 0.3333 0.3640